NdDyAs2: relaxed, GGA-PBE.

Cell lengths 4.159, 4.159, 7.536 Å; angles 73.98, 73.98, 60.00 degrees
Positions (direct):
1 Nd 0.669 0.669 0.992
2 Dy 0.498 0.498 0.507
3 As 0.085 0.085 0.745
4 As 0.248 0.248 0.256

Energy relative to the lowest polymorph listed for this composition: 0.66 eV per formula unit
VASP energy: -24.1 eV for the cell shown
M_tot: 0.0 μB per cell
Calculated formation energy: -1355 meV/atom

Ce3MnAl: relaxed, GGA-PBE.

Cell lengths 5.012, 5.012, 5.012 Å; angles 90.00, 90.00, 90.00 degrees
Positions (direct):
1 Mn 0.000 0.000 0.000
2 Al 0.500 0.500 0.500
3 Ce 0.000 0.500 0.000
4 Ce 0.000 0.000 0.500
5 Ce 0.500 0.000 0.000

Energy relative to the lowest polymorph listed for this composition: 0.00 eV per formula unit
VASP energy: -31.0 eV for the cell shown
M_tot: 0.6 μB per cell
Calculated formation energy: -51 meV/atom

CsPuNiS4: relaxed, GGA-PBE.

Cell lengths 6.608, 5.674, 9.597 Å; angles 90.00, 105.11, 90.00 degrees
Positions (direct):
1 Cs 0.754 0.750 0.954
2 Cs 0.246 0.250 0.046
3 Pu 0.743 0.750 0.452
4 Pu 0.257 0.250 0.548
5 Ni 0.238 0.750 0.348
6 Ni 0.762 0.250 0.652
7 S 0.011 0.514 0.691
8 S 0.989 0.014 0.309
9 S 0.989 0.486 0.309
10 S 0.011 0.986 0.691
11 S 0.456 0.750 0.208
12 S 0.544 0.250 0.792
13 S 0.419 0.750 0.573
14 S 0.581 0.250 0.427

Formation energy from raw total energies: -0.96 eV/atom
VASP energy: -88.4 eV for the cell shown
M_tot: 4.7 μB per cell

Th2ScOsC2: relaxed, GGA-PBE.

Cell lengths 3.683, 5.746, 10.870 Å; angles 90.00, 90.00, 90.00 degrees
Positions (direct):
1 Th 0.500 0.068 0.213
2 Th 0.000 0.568 0.287
3 Th 0.500 0.932 0.787
4 Th 0.000 0.432 0.713
5 Sc 0.500 0.500 0.000
6 Sc 0.000 0.000 0.500
7 Os 0.000 0.000 0.000
8 Os 0.500 0.500 0.500
9 C 0.500 0.799 0.396
10 C 0.500 0.201 0.604
11 C 0.000 0.701 0.896
12 C 0.000 0.299 0.104

VASP energy: -103.4 eV for the cell shown
M_tot: 0.0 μB per cell
Calculated formation energy: -140 meV/atom

CsZnP2Se: relaxed, GGA-PBE.

Cell lengths 8.097, 3.735, 10.501 Å; angles 90.00, 111.08, 90.00 degrees
Positions (direct):
1 Cs 0.347 0.000 0.378
2 Cs 0.347 0.500 0.878
3 Zn 0.892 0.000 0.030
4 Zn 0.892 0.500 0.530
5 P 0.703 0.000 0.172
6 P 0.703 0.500 0.672
7 P 0.703 0.000 0.785
8 P 0.703 0.500 0.285
9 Se 0.085 0.000 0.585
10 Se 0.085 0.500 0.085

Formation energy from raw total energies: -0.39 eV/atom
Energy relative to the lowest polymorph listed for this composition: 0.00 eV per formula unit
VASP energy: -36.8 eV for the cell shown
M_tot: 0.0 μB per cell

Mn3AlCu: relaxed, GGA-PBE.

Cell lengths 4.514, 4.514, 4.514 Å; angles 90.00, 90.00, 90.00 degrees
Positions (direct):
1 Mn 0.000 0.500 0.000
2 Mn 0.000 0.000 0.500
3 Mn 0.500 0.000 0.000
4 Al 0.000 0.000 0.000
5 Cu 0.500 0.500 0.500

Energy relative to the lowest polymorph listed for this composition: 1.47 eV per formula unit
VASP energy: -29.6 eV for the cell shown
M_tot: 10.1 μB per cell
Calculated formation energy: 1144 meV/atom